Entry 1:
Here is a relaxed Mg3AsO crystal from the Alexandria database. Energies are from PBEsol.

The structure in POSCAR format:
```
Mg3AsO
1.0
4.2744 0.0000 0.0000
0.0000 4.2744 0.0000
0.0000 0.0000 4.2744
Mg As O
3 1 1
Cartesian
0.0000 0.0000 2.1372
0.0000 2.1372 0.0000
2.1372 0.0000 0.0000
2.1372 2.1372 2.1372
0.0000 0.0000 0.0000
```

Output
Total DFT energy (no corrections) ... -4.219 eV per atom

Entry 2:
Here is a relaxed MgAs3O crystal from the Alexandria database. Energies are from PBEsol.

The structure in POSCAR format:
```
MgAs3O
1.0
4.3832 0.0000 0.0000
0.0000 4.3832 0.0000
0.0000 0.0000 4.3832
Mg As O
1 3 1
Cartesian
0.0000 0.0000 0.0000
0.0000 2.1916 2.1916
2.1916 0.0000 2.1916
2.1916 2.1916 0.0000
2.1916 2.1916 2.1916
```

Output
Total DFT energy (no corrections) ... -4.465 eV per atom

Entry 3:
Here is a relaxed Mg2ZrAsO crystal from the Alexandria database. Energies are from PBEsol.

The structure in POSCAR format:
```
Mg2ZrAsO
1.0
5.8048 0.0000 0.0000
0.0000 5.8048 0.0000
0.0000 0.0000 4.9642
Mg Zr As O
2 1 1 1
Cartesian
0.0000 2.9024 0.0000
2.9024 0.0000 0.0000
0.0000 0.0000 0.0000
0.0000 0.0000 2.4821
2.9024 2.9024 2.4821
```

Output
Total DFT energy (no corrections) ... -3.532 eV per atom

Entry 4:
Here is a relaxed MgAs2Os crystal from the Alexandria database. Energies are from PBEsol.

The structure in POSCAR format:
```
MgAs2Os
1.0
-2.2570 2.2570 3.0556
2.2570 -2.2570 3.0556
2.2570 2.2570 -3.0556
Mg As Os
1 2 1
Cartesian
0.0000 0.0000 0.0000
2.2570 0.0000 1.5278
0.0000 2.2570 1.5278
0.0000 0.0000 3.0556
```

Output
Offset from the most stable computed form ... 123 meV per atom
ΔH_f (0 K) ... 0.040 eV per atom

Entry 5:
Here is a relaxed MgAs2Os crystal from the Alexandria database. Energies are from PBEsol.

The structure in POSCAR format:
```
MgAs2Os
1.0
-1.5035 1.8325 6.3579
1.5035 -1.8325 6.3579
1.5035 1.8325 -6.3579
Mg As Os
1 2 1
Cartesian
0.0000 0.0000 0.0000
0.0000 0.0000 4.9315
0.0000 1.8325 2.0059
1.5035 0.0000 2.9535
```

Output
Offset from the most stable computed form ... 87 meV per atom
ΔH_f (0 K) ... 0.004 eV per atom

Entry 6:
Here is a relaxed Mg3AsOs crystal from the Alexandria database. Energies are from PBEsol.

The structure in POSCAR format:
```
Mg3AsOs
1.0
4.7967 0.0000 0.0000
0.0000 4.7967 0.0000
0.0000 0.0000 4.7967
Mg As Os
3 1 1
Cartesian
0.0000 0.0000 2.3983
0.0000 2.3983 0.0000
2.3983 0.0000 0.0000
0.0000 0.0000 0.0000
2.3983 2.3983 2.3983
```

Output
ΔH_f (0 K) ... 0.925 eV per atom

Entry 7:
Here is a relaxed MgAs2Os crystal from the Alexandria database. Energies are from PBEsol.

The structure in POSCAR format:
```
MgAs2Os
1.0
4.2588 -1.5059 0.0000
4.2588 1.5059 0.0000
-2.3535 0.0000 5.7389
Mg As Os
1 2 1
Cartesian
0.0000 0.0000 0.0000
3.8705 0.0000 3.5362
6.2002 0.0000 1.3131
1.4532 0.0000 3.3140
```

Output
Offset from the most stable computed form ... 0 meV per atom
ΔH_f (0 K) ... -0.083 eV per atom

Entry 8:
Here is a relaxed MgAs2Os crystal from the Alexandria database. Energies are from PBEsol.

The structure in POSCAR format:
```
MgAs2Os
1.0
4.4757 0.0000 0.0000
0.0000 4.4757 0.0000
0.0000 0.0000 3.1606
Mg As Os
1 2 1
Cartesian
0.0000 0.0000 0.0000
0.0000 2.2379 1.5803
2.2379 0.0000 1.5803
2.2379 2.2379 0.0000
```

Output
Offset from the most stable computed form ... 314 meV per atom
ΔH_f (0 K) ... 0.231 eV per atom

Entry 9:
Here is a relaxed MgAsP2 crystal from the Alexandria database. Energies are from PBEsol.

The structure in POSCAR format:
```
MgAsP2
1.0
3.5129 0.0000 0.0000
0.0000 3.5129 0.0000
0.0000 0.0000 5.4510
Mg As P
1 1 2
Cartesian
0.0000 0.0000 0.0000
0.0000 0.0000 2.7255
1.7565 1.7565 1.1315
1.7565 1.7565 4.3195
```

Output
Offset from the most stable computed form ... 203 meV per atom
ΔH_f (0 K) ... 0.136 eV per atom

Entry 10:
Here is a relaxed MgAs3P crystal from the Alexandria database. Energies are from PBEsol.

The structure in POSCAR format:
```
MgAs3P
1.0
4.7574 0.0000 0.0000
0.0000 4.7574 0.0000
0.0000 0.0000 4.7574
Mg As P
1 3 1
Cartesian
0.0000 0.0000 0.0000
0.0000 2.3787 2.3787
2.3787 0.0000 2.3787
2.3787 2.3787 0.0000
2.3787 2.3787 2.3787
```

Output
Offset from the most stable computed form ... 0 meV per atom
ΔH_f (0 K) ... 0.453 eV per atom

Entry 11:
Here is a relaxed MgAsP2 crystal from the Alexandria database. Energies are from PBEsol.

The structure in POSCAR format:
```
MgAsP2
1.0
-1.8523 1.8523 4.9248
1.8523 -1.8523 4.9248
1.8523 1.8523 -4.9248
Mg As P
1 1 2
Cartesian
0.0000 0.0000 0.0000
1.8523 0.0000 2.4624
0.0000 0.0000 4.9248
0.0000 1.8523 2.4624
```

Output
Offset from the most stable computed form ... 237 meV per atom
ΔH_f (0 K) ... 0.170 eV per atom

Entry 12:
Here is a relaxed MgAs2P crystal from the Alexandria database. Energies are from PBEsol.

The structure in POSCAR format:
```
MgAs2P
1.0
-2.8959 2.8959 5.7936
2.8959 -2.8959 5.7936
2.8959 2.8959 -5.7936
Mg As P
2 4 2
Cartesian
0.0000 0.0000 0.0000
0.0000 2.8959 2.8968
1.4480 -1.2537 4.3452
1.6423 1.4480 1.4484
1.4480 4.1496 -1.4484
1.2537 1.4480 7.2420
2.8959 0.0000 2.8968
0.0000 0.0000 5.7936
```

Output
Offset from the most stable computed form ... 71 meV per atom
ΔH_f (0 K) ... 0.047 eV per atom

Entry 13:
Here is a relaxed Mg2AsP crystal from the Alexandria database. Energies are from PBEsol.

The structure in POSCAR format:
```
Mg2AsP
1.0
1.7390 1.0040 7.2311
-1.7390 1.0040 7.2311
0.0000 -2.0080 7.2311
Mg As P
2 1 1
Cartesian
0.0000 0.0000 5.2627
0.0000 0.0000 16.4306
0.0000 0.0000 0.0000
0.0000 0.0000 10.8466
```

Output
Offset from the most stable computed form ... 2 meV per atom
ΔH_f (0 K) ... -0.318 eV per atom

Entry 14:
Here is a relaxed MgAs2P crystal from the Alexandria database. Energies are from PBEsol.

The structure in POSCAR format:
```
MgAs2P
1.0
-1.6993 2.2392 4.6412
1.6993 -2.2392 4.6412
1.6993 2.2392 -4.6412
Mg As P
1 2 1
Cartesian
0.0000 0.0000 0.0000
1.6993 0.0000 2.7052
0.0000 2.2392 1.9360
0.0000 0.0000 4.6412
```

Output
Offset from the most stable computed form ... 0 meV per atom
ΔH_f (0 K) ... -0.023 eV per atom

Entry 15:
Here is a relaxed Mg2AsP crystal from the Alexandria database. Energies are from PBEsol.

The structure in POSCAR format:
```
Mg2AsP
1.0
3.8062 0.0000 0.0000
0.0000 3.8062 0.0000
0.0000 0.0000 5.3738
Mg As P
2 1 1
Cartesian
0.0000 0.0000 0.0000
1.9031 1.9031 2.6400
1.9031 1.9031 5.3259
0.0000 0.0000 2.6810
```

Output
Offset from the most stable computed form ... 85 meV per atom
ΔH_f (0 K) ... -0.234 eV per atom

Entry 16:
Here is a relaxed MgAs3P crystal from the Alexandria database. Energies are from PBEsol.

The structure in POSCAR format:
```
MgAs3P
1.0
4.8295 0.0000 0.0000
0.0000 4.8295 0.0000
0.0000 0.0000 4.8295
Mg As P
1 3 1
Cartesian
0.0000 0.0000 0.0000
0.0000 0.0000 2.4147
0.0000 2.4147 0.0000
2.4147 0.0000 0.0000
2.4147 2.4147 2.4147
```

Output
Offset from the most stable computed form ... 622 meV per atom
ΔH_f (0 K) ... 1.075 eV per atom

Entry 17:
Here is a relaxed Mg2AsP crystal from the Alexandria database. Energies are from PBEsol.

The structure in POSCAR format:
```
Mg2AsP
1.0
3.6288 -1.5462 0.0000
3.6288 1.5462 0.0000
-1.4853 0.0000 6.6523
Mg As P
2 1 1
Cartesian
1.4476 0.0000 1.5690
4.3247 0.0000 5.0833
-0.7426 0.0000 3.3262
3.6288 0.0000 0.0000
```

Output
Offset from the most stable computed form ... 0 meV per atom
ΔH_f (0 K) ... -0.319 eV per atom

Entry 18:
Here is a relaxed MgAs4P crystal from the Alexandria database. Energies are from PBEsol.

The structure in POSCAR format:
```
MgAs4P
1.0
0.0000 3.8602 3.8602
3.8602 0.0000 3.8602
3.8602 3.8602 0.0000
Mg As P
1 4 1
Cartesian
0.0000 0.0000 0.0000
2.9053 2.9053 2.9053
4.8151 4.8151 2.9053
4.8151 2.9053 4.8151
2.9053 4.8151 4.8151
5.7903 5.7903 5.7903
```

Output
ΔH_f (0 K) ... 0.416 eV per atom

Entry 19:
Here is a relaxed MgAs2P crystal from the Alexandria database. Energies are from PBEsol.

The structure in POSCAR format:
```
MgAs2P
1.0
2.9269 -3.5153 0.0000
2.9269 3.5153 0.0000
0.0000 0.0000 3.3917
Mg As P
1 2 1
Cartesian
0.0000 0.0000 0.0000
1.4635 1.7577 1.6959
1.4635 -1.7577 1.6959
2.9269 0.0000 0.0000
```

Output
Offset from the most stable computed form ... 145 meV per atom
ΔH_f (0 K) ... 0.122 eV per atom

Entry 20:
Here is a relaxed MgAsP2 crystal from the Alexandria database. Energies are from PBEsol.

The structure in POSCAR format:
```
MgAsP2
1.0
3.4861 0.0000 0.0000
0.0000 3.4861 0.0000
0.0000 0.0000 6.1782
Mg As P
1 1 2
Cartesian
0.0000 0.0000 0.0000
1.7430 1.7430 5.2138
0.0000 0.0000 2.5491
1.7430 1.7430 2.9239
```

Output
Offset from the most stable computed form ... 0 meV per atom
ΔH_f (0 K) ... -0.066 eV per atom